Crystalline LiZnAu2 at its relaxed geometry, computed with GGA-PBE.

Structure (CIF):
```
data_LiZnAu2
_cell_length_a 3.006
_cell_length_b 3.527
_cell_length_c 5.957
_cell_angle_alpha 90.00
_cell_angle_beta 90.48
_cell_angle_gamma 90.00
_symmetry_space_group_name_H-M 'P 1 2/m 1'
_symmetry_Int_Tables_number 10
loop_
_symmetry_equiv_pos_as_xyz
'x,y,z'
'-x,-y,-z'
'-x,y,-z'
'x,-y,z'
loop_
_atom_site_label
_atom_site_fract_x
_atom_site_fract_y
_atom_site_fract_z
_atom_site_occupancy
Li1 0.000 0.000 0.000 1
Zn1 0.000 0.000 0.500 1
Au1 0.499 0.500 0.755 1
```

Values from the calculation:
DOS at the Fermi energy = 0.87 states/eV/f.u.
E_form = -0.39 eV/atom
magnetic moment = 0.0 μB/cell
crystal system = monoclinic